An optimized crystal structure of ReAg2Mo, computed with GGA-PBE.

```
ReAg2Mo
1.0
4.986 -1.364 0.000
4.986 1.364 0.000
-0.729 0.000 4.794
Re Ag Mo
1 2 1
Direct
0.000 0.000 0.000
0.252 0.252 0.751
0.748 0.748 0.249
0.500 0.500 0.500
```

**Total energy**: -6.6828 eV/atom
**Symmetry**: C2/m (12)

---

An optimized crystal structure of Re2AgMo, computed with GGA-PBE.

```
Re2AgMo
1.0
4.707 -1.414 0.000
4.707 1.414 0.000
-0.955 0.000 4.739
Re Ag Mo
2 1 1
Direct
0.000 0.000 0.000
0.737 0.737 0.217
0.495 0.495 0.494
0.254 0.254 0.754
```

**Total energy**: -9.1667 eV/atom
**Symmetry**: Cm (8)

---

An optimized crystal structure of ReAgMo2, computed with GGA-PBE.

```
ReAgMo2
1.0
1.398 0.807 9.518
-1.398 0.807 9.518
0.000 -1.614 9.518
Re Ag Mo
1 1 2
Direct
0.000 0.000 0.000
0.500 0.500 0.500
0.255 0.255 0.255
0.745 0.745 0.745
```

**Total energy**: -8.9007 eV/atom
**Symmetry**: R-3m (166)

---

An optimized crystal structure of ReAg2Mo, computed with GGA-PBE.

```
ReAg2Mo
1.0
2.685 0.000 0.000
0.000 4.193 0.000
0.000 0.000 5.843
Re Ag Mo
1 2 1
Direct
0.000 0.000 0.000
0.000 0.000 0.512
0.500 0.500 0.274
0.500 0.500 0.789
```

**Total energy**: -6.7464 eV/atom
**Symmetry**: Pmm2 (25)

---

An optimized crystal structure of Re2AgMo, computed with GGA-PBE.

```
Re2AgMo
1.0
1.392 0.803 9.474
-1.392 0.803 9.474
0.000 -1.607 9.474
Re Ag Mo
2 1 1
Direct
0.000 0.000 0.000
0.258 0.258 0.258
0.503 0.503 0.503
0.749 0.749 0.749
```

**Total energy**: -9.3601 eV/atom
**Symmetry**: R3m (160)

---

An optimized crystal structure of ReAgMo, computed with GGA-PBE.

```
ReAgMo
1.0
4.550 0.000 0.000
-2.275 3.941 0.000
0.000 0.000 2.675
Re Ag Mo
1 1 1
Direct
0.000 0.000 0.000
0.333 0.667 0.377
0.667 0.333 0.757
```

**Total energy**: -8.2817 eV/atom
**Symmetry**: P3m1 (156)

---

An optimized crystal structure of ReAgMo3, computed with GGA-PBE.

```
ReAgMo3
1.0
4.742 0.000 0.000
0.000 4.742 0.000
0.000 0.000 4.742
Re Ag Mo
1 1 3
Direct
0.000 0.000 0.000
0.500 0.500 0.500
0.000 0.000 0.500
0.000 0.500 0.000
0.500 0.000 0.000
```

**Total energy**: -7.9040 eV/atom
**Symmetry**: Pm-3m (221)

---

An optimized crystal structure of Re2AgMo, computed with GGA-PBE.

```
Re2AgMo
1.0
2.789 -4.097 0.000
2.789 4.097 0.000
0.000 0.000 2.734
Re Ag Mo
2 1 1
Direct
0.000 0.500 0.000
0.500 0.000 0.000
0.000 0.000 0.500
0.500 0.500 0.500
```

**Total energy**: -9.0976 eV/atom
**Symmetry**: Cmmm (65)

---

An optimized crystal structure of ReAgMo2, computed with GGA-PBE.

```
ReAgMo2
1.0
-2.001 2.001 3.951
2.001 -2.001 3.951
2.001 2.001 -3.951
Re Ag Mo
1 1 2
Direct
0.000 0.000 0.000
0.250 0.750 0.500
0.500 0.500 0.000
0.750 0.250 0.500
```

**Total energy**: -8.7487 eV/atom
**Symmetry**: I-4m2 (119)

---

An optimized crystal structure of ReAgMo2, computed with GGA-PBE.

```
ReAgMo2
1.0
2.826 0.000 0.000
0.000 3.997 0.000
0.000 0.000 5.709
Re Ag Mo
1 1 2
Direct
0.000 0.000 0.000
0.000 0.000 0.500
0.500 0.500 0.224
0.500 0.500 0.776
```

**Total energy**: -8.8637 eV/atom
**Symmetry**: Pmmm (47)

---

An optimized crystal structure of Re2AgMo, computed with GGA-PBE.

```
Re2AgMo
1.0
3.955 0.000 0.000
0.000 3.955 0.000
0.000 0.000 3.958
Re Ag Mo
2 1 1
Direct
0.000 0.500 0.000
0.500 0.000 0.000
0.000 0.000 0.500
0.500 0.500 0.500
```

**Total energy**: -9.1599 eV/atom
**Symmetry**: P4/mmm (123)

---

An optimized crystal structure of ReAg2Mo, computed with GGA-PBE.

```
ReAg2Mo
1.0
1.388 0.801 9.785
-1.388 0.801 9.785
0.000 -1.602 9.785
Re Ag Mo
1 2 1
Direct
0.000 0.000 0.000
0.251 0.251 0.251
0.749 0.749 0.749
0.500 0.500 0.500
```

**Total energy**: -6.6198 eV/atom
**Symmetry**: R-3m (166)

---

An optimized crystal structure of ReAgMo2, computed with GGA-PBE.

```
ReAgMo2
1.0
2.670 0.000 0.000
0.000 4.575 0.000
-0.784 0.000 5.241
Re Ag Mo
1 1 2
Direct
0.000 0.000 0.000
0.916 0.500 0.289
0.296 0.500 0.797
0.529 0.000 0.515
```

**Total energy**: -8.8428 eV/atom
**Symmetry**: Pm (6)

---

An optimized crystal structure of Re2AgMo, computed with GGA-PBE.

```
Re2AgMo
1.0
2.774 0.000 0.000
0.000 2.774 0.000
0.000 0.000 8.299
Re Ag Mo
2 1 1
Direct
0.000 0.000 0.000
0.500 0.500 0.218
0.000 0.000 0.488
0.500 0.500 0.759
```

**Total energy**: -9.2758 eV/atom
**Symmetry**: P4mm (99)

---

An optimized crystal structure of Re2AgMo, computed with GGA-PBE.

```
Re2AgMo
1.0
2.783 0.000 0.000
0.000 4.033 0.000
-0.031 0.000 5.649
Re Ag Mo
2 1 1
Direct
0.000 0.000 0.000
0.465 0.500 0.788
0.970 0.000 0.507
0.461 0.500 0.239
```

**Total energy**: -9.2643 eV/atom
**Symmetry**: Pm (6)

---

An optimized crystal structure of ReAg2Mo, computed with GGA-PBE.

```
ReAg2Mo
1.0
3.089 0.000 0.000
0.000 3.089 0.000
0.000 0.000 7.262
Re Ag Mo
1 2 1
Direct
0.000 0.000 0.000
0.000 0.000 0.534
0.500 0.500 0.278
0.500 0.500 0.818
```

**Total energy**: -6.8202 eV/atom
**Symmetry**: P4mm (99)

---

An optimized crystal structure of ReAgMo2, computed with GGA-PBE.

```
ReAgMo2
1.0
2.700 0.000 0.000
0.000 4.291 0.000
-0.793 0.000 5.540
Re Ag Mo
1 1 2
Direct
0.000 0.000 0.000
0.000 0.000 0.500
0.444 0.500 0.233
0.556 0.500 0.767
```

**Total energy**: -8.8675 eV/atom
**Symmetry**: P2/m (10)

---

An optimized crystal structure of Re2AgMo, computed with GGA-PBE.

```
Re2AgMo
1.0
3.308 0.000 0.000
0.000 3.308 0.000
0.000 0.000 5.926
Re Ag Mo
2 1 1
Direct
0.000 0.000 0.000
0.500 0.500 0.210
0.000 0.000 0.491
0.500 0.500 0.771
```

**Total energy**: -9.0965 eV/atom
**Symmetry**: P4mm (99)

---

An optimized crystal structure of ReAgMo2, computed with GGA-PBE.

```
ReAgMo2
1.0
1.592 -2.195 0.000
1.592 2.195 0.000
0.000 0.000 9.227
Re Ag Mo
1 1 2
Direct
0.000 0.000 0.000
0.000 0.000 0.500
0.500 0.500 0.236
0.500 0.500 0.764
```

**Total energy**: -8.9327 eV/atom
**Symmetry**: Cmmm (65)

---

An optimized crystal structure of ReAgMo2, computed with GGA-PBE.

```
ReAgMo2
1.0
0.000 3.177 3.177
3.177 0.000 3.177
3.177 3.177 0.000
Re Ag Mo
1 1 2
Direct
0.000 0.000 0.000
0.750 0.750 0.750
0.250 0.250 0.250
0.500 0.500 0.500
```

**Total energy**: -8.6219 eV/atom
**Symmetry**: F-43m (216)

---

An optimized crystal structure of Re2AgMo, computed with GGA-PBE.

```
Re2AgMo
1.0
-1.535 2.270 4.585
1.535 -2.270 4.585
1.535 2.270 -4.585
Re Ag Mo
2 1 1
Direct
0.231 0.231 0.000
0.769 0.769 0.000
0.500 0.000 0.500
0.000 0.500 0.500
```

**Total energy**: -9.0945 eV/atom
**Symmetry**: Immm (71)

---

An optimized crystal structure of ReAg2Mo, computed with GGA-PBE.

```
ReAg2Mo
1.0
0.000 3.197 3.197
3.197 0.000 3.197
3.197 3.197 0.000
Re Ag Mo
1 2 1
Direct
0.000 0.000 0.000
0.250 0.250 0.250
0.750 0.750 0.750
0.500 0.500 0.500
```

**Total energy**: -6.1453 eV/atom
**Symmetry**: Fm-3m (225)

---

An optimized crystal structure of Re2AgMo, computed with GGA-PBE.

```
Re2AgMo
1.0
-1.977 1.977 3.987
1.977 -1.977 3.987
1.977 1.977 -3.987
Re Ag Mo
2 1 1
Direct
0.250 0.750 0.500
0.750 0.250 0.500
0.000 0.000 0.000
0.500 0.500 0.000
```

**Total energy**: -9.1257 eV/atom
**Symmetry**: I4/mmm (139)

---

An optimized crystal structure of ReAg2Mo, computed with GGA-PBE.

```
ReAg2Mo
1.0
-1.852 1.852 10.248
1.852 -1.852 10.248
1.852 1.852 -10.248
Re Ag Mo
2 4 2
Direct
0.000 0.000 0.000
0.750 0.250 0.500
0.123 0.625 0.998
0.375 0.373 0.498
0.627 0.125 0.002
0.875 0.877 0.502
0.250 0.750 0.500
0.500 0.500 0.000
```

**Total energy**: -6.3319 eV/atom
**Symmetry**: I-42d (122)

---

An optimized crystal structure of ReAgMo2, computed with GGA-PBE.

```
ReAgMo2
1.0
1.578 -2.202 0.000
1.578 2.202 0.000
0.000 0.000 9.279
Re Ag Mo
1 1 2
Direct
0.000 0.000 0.000
0.500 0.500 0.264
0.000 0.000 0.527
0.500 0.500 0.766
```

**Total energy**: -8.9376 eV/atom
**Symmetry**: Cmm2 (35)

---

An optimized crystal structure of ReAg2Mo, computed with GGA-PBE.

```
ReAg2Mo
1.0
-1.886 1.886 4.570
1.886 -1.886 4.570
1.886 1.886 -4.570
Re Ag Mo
1 2 1
Direct
0.000 0.000 0.000
0.250 0.750 0.500
0.750 0.250 0.500
0.500 0.500 0.000
```

**Total energy**: -6.6385 eV/atom
**Symmetry**: I4/mmm (139)

---

An optimized crystal structure of Re2AgMo, computed with GGA-PBE.

```
Re2AgMo
1.0
-1.548 2.258 4.572
1.548 -2.258 4.572
1.548 2.258 -4.572
Re Ag Mo
2 1 1
Direct
0.000 0.000 0.000
0.773 0.273 0.500
0.266 0.766 0.500
0.538 0.538 0.000
```

**Total energy**: -9.0776 eV/atom
**Symmetry**: Imm2 (44)

---

An optimized crystal structure of ReAgMo2, computed with GGA-PBE.

```
ReAgMo2
1.0
-1.608 2.233 4.496
1.608 -2.233 4.496
1.608 2.233 -4.496
Re Ag Mo
1 1 2
Direct
0.000 0.000 0.000
0.267 0.767 0.500
0.537 0.537 0.000
0.772 0.272 0.500
```

**Total energy**: -8.7564 eV/atom
**Symmetry**: Imm2 (44)

---

An optimized crystal structure of ReAg2Mo, computed with GGA-PBE.

```
ReAg2Mo
1.0
3.773 0.000 0.000
0.000 3.773 0.000
0.000 0.000 4.566
Re Ag Mo
1 2 1
Direct
0.000 0.000 0.000
0.000 0.500 0.500
0.500 0.000 0.500
0.500 0.500 0.000
```

**Total energy**: -6.6305 eV/atom
**Symmetry**: P4/mmm (123)

---

An optimized crystal structure of Re2AgMo, computed with GGA-PBE.

```
Re2AgMo
1.0
0.000 3.159 3.159
3.159 0.000 3.159
3.159 3.159 0.000
Re Ag Mo
2 1 1
Direct
0.250 0.250 0.250
0.750 0.750 0.750
0.000 0.000 0.000
0.500 0.500 0.500
```

**Total energy**: -8.9804 eV/atom
**Symmetry**: Fm-3m (225)

---

An optimized crystal structure of ReAgMo2, computed with GGA-PBE.

```
ReAgMo2
1.0
0.000 3.178 3.178
3.178 0.000 3.178
3.178 3.178 0.000
Re Ag Mo
1 1 2
Direct
0.000 0.000 0.000
0.500 0.500 0.500
0.250 0.250 0.250
0.750 0.750 0.750
```

**Total energy**: -8.6880 eV/atom
**Symmetry**: Fm-3m (225)

---

| no. | N(E_F) (states/eV/cell) | excess energy over the best structure of this formula in the dataset (kJ/mol of atoms) | total magnetic moment (μB/cell) |
| --- | --- | --- | --- |
| 1 | 3.2 | 23.57 | 0.00 |
| 2 | 3.7 | 18.66 | 0.00 |
| 3 | 3.7 | 3.56 | 0.00 |
| 4 | 2.8 | 17.43 | 0.00 |
| 5 | 1.4 | 0.00 | 0.00 |
| 6 | 1.4 | 1.47 | 0.00 |
| 7 | 5.8 | 0.00 | 0.00 |
| 8 | 3.3 | 25.32 | 0.00 |
| 9 | 3.3 | 18.23 | 0.00 |
| 10 | 3.7 | 7.13 | 0.00 |
| 11 | 2.6 | 19.31 | 0.00 |
| 12 | 6.0 | 29.65 | 0.41 |
| 13 | 2.6 | 9.14 | 0.00 |
| 14 | 4.0 | 8.13 | 0.00 |
| 15 | 2.5 | 9.24 | 0.00 |
| 16 | 3.2 | 10.31 | 0.00 |
| 17 | 2.7 | 6.76 | 0.00 |
| 18 | 2.6 | 25.43 | 0.00 |
| 19 | 3.1 | 0.47 | 0.00 |
| 20 | 6.1 | 30.46 | 0.00 |
| 21 | 3.7 | 25.63 | 0.00 |
| 22 | 3.7 | 75.43 | 0.00 |
| 23 | 2.9 | 22.61 | 0.00 |
| 24 | 4.1 | 57.42 | 0.00 |
| 25 | 2.5 | 0.00 | 0.00 |
| 26 | 2.5 | 27.85 | 0.00 |
| 27 | 4.2 | 27.25 | 0.00 |
| 28 | 2.3 | 17.48 | 0.00 |
| 29 | 2.3 | 28.62 | 0.00 |
| 30 | 3.4 | 36.63 | 0.00 |
| 31 | 7.6 | 24.08 | 0.00 |